No. 1
DFT (GGA-PBE) results for an optimized crystal structure of ScIn.

Unit cell a=3.201 b=3.201 c=4.392 alpha=90.00 beta=90.00 gamma=90.00
Site moments in Bohr magnetons follow the coordinates.
Fractional positions:
In1 0.000 0.000 0.000  -0.01
Sc1 0.500 0.500 0.500  0.26

Output
Formation energy from the elements = -0.435 eV/atom

No. 2
DFT (GGA-PBE) results for an optimized crystal structure of Sc5In.

Unit cell a=6.111 b=6.111 c=7.611 alpha=76.33 beta=76.33 gamma=31.23
Fractional positions:
In1 0.005 0.005 0.996
Sc1 0.609 0.609 0.274
Sc2 0.939 0.939 0.609
Sc3 0.330 0.330 0.334
Sc4 0.663 0.663 0.674
Sc5 0.287 0.287 0.946

Output
ΔE to the lowest computed polymorph = 23.0 meV per atom
Formation energy from the elements = -0.155 eV/atom

No. 3
DFT (GGA-PBE) results for an optimized crystal structure of ScIn2.

Unit cell a=4.451 b=4.474 c=7.205 alpha=90.00 beta=108.01 gamma=90.00
Fractional positions:
In1 0.000 0.000 0.000
In2 0.500 0.500 0.000
Sc1 0.657 0.000 0.314
Sc2 0.343 0.000 0.686
In3 0.824 0.500 0.648
In4 0.176 0.500 0.352

Output
Formation energy from the elements = -0.362 eV/atom

No. 4
DFT (GGA-PBE) results for an optimized crystal structure of Sc4In.

Unit cell a=5.745 b=5.745 c=5.745 alpha=109.47 beta=109.47 gamma=109.47
Site moments in Bohr magnetons follow the coordinates.
Fractional positions:
Sc1 0.500 0.000 0.000  0.44
Sc2 0.000 0.000 0.500  0.44
In1 0.000 0.000 0.000  0.00
Sc3 0.000 0.500 0.000  0.44
Sc4 0.500 0.500 0.500  0.44

Output
ΔE to the lowest computed polymorph = 643.1 meV per atom
Formation energy from the elements = 0.471 eV/atom

No. 5
DFT (GGA-PBE) results for an optimized crystal structure of ScIn3.

Unit cell a=5.823 b=6.219 c=15.566 alpha=90.00 beta=90.00 gamma=90.00
Fractional positions:
Sc1 0.641 0.250 0.085
In1 0.438 0.997 0.250
In2 0.355 0.250 0.582
In3 0.144 0.501 0.085
In4 0.144 0.999 0.085
In5 0.438 0.503 0.250
In6 0.856 0.001 0.915
In7 0.144 0.501 0.415
In8 0.856 0.499 0.915
In9 0.645 0.750 0.418
In10 0.062 0.750 0.750
In11 0.856 0.499 0.585
In12 0.562 0.003 0.750
Sc2 0.074 0.250 0.750
Sc3 0.359 0.750 0.585
In13 0.938 0.250 0.250
Sc4 0.359 0.750 0.915
In14 0.562 0.497 0.750
Sc5 0.926 0.750 0.250
Sc6 0.641 0.250 0.415
In15 0.645 0.750 0.082
In16 0.856 0.001 0.585
In17 0.144 0.999 0.415
In18 0.355 0.250 0.918

Output
Formation energy from the elements = -0.246 eV/atom

No. 6
DFT (GGA-PBE) results for an optimized crystal structure of Sc13In2.

Unit cell a=6.232 b=7.914 c=8.148 alpha=112.96 beta=78.59 gamma=97.57
Site moments in Bohr magnetons follow the coordinates.
Fractional positions:
Sc1 0.879 0.483 0.248  0.14
In1 0.062 0.236 0.380  0.00
Sc2 0.377 0.590 0.389  0.15
Sc3 0.121 0.517 0.752  0.14
Sc4 0.523 0.146 0.206  0.11
Sc5 0.000 0.000 0.000  0.08
Sc6 0.311 0.342 0.978  0.11
Sc7 0.203 0.779 0.158  0.05
Sc8 0.797 0.221 0.842  0.05
In2 0.938 0.764 0.620  0.00
Sc9 0.477 0.854 0.794  0.11
Sc10 0.261 0.062 0.584  0.20
Sc11 0.739 0.938 0.416  0.20
Sc12 0.623 0.410 0.611  0.15
Sc13 0.689 0.658 0.022  0.11

Output
Formation energy from the elements = -0.095 eV/atom

No. 7
DFT (GGA-PBE) results for an optimized crystal structure of Sc3In.

Unit cell a=5.078 b=5.078 c=5.078 alpha=60.00 beta=60.00 gamma=60.00
Site moments in Bohr magnetons follow the coordinates.
Fractional positions:
In1 0.000 0.000 0.000  -0.02
Sc1 0.250 0.250 0.250  0.28
Sc2 0.500 0.500 0.500  0.45
Sc3 0.750 0.750 0.750  0.28

Output
ΔE to the lowest computed polymorph = 128.3 meV per atom
Formation energy from the elements = -0.171 eV/atom

No. 8
DFT (GGA-PBE) results for an optimized crystal structure of Sc3In.

Unit cell a=3.306 b=3.306 c=10.258 alpha=90.00 beta=90.00 gamma=120.00
Site moments in Bohr magnetons follow the coordinates.
Fractional positions:
Sc1 0.667 0.333 0.248  0.04
Sc2 0.000 0.000 0.500  0.15
Sc3 0.667 0.333 0.752  0.04
In1 0.000 0.000 0.000  0.00

Output
ΔE to the lowest computed polymorph = 169.6 meV per atom
Formation energy from the elements = -0.130 eV/atom

No. 9
DFT (GGA-PBE) results for an optimized crystal structure of Sc3In.

Unit cell a=6.029 b=6.029 c=6.029 alpha=144.13 beta=132.31 gamma=61.09
Fractional positions:
Sc1 0.000 0.500 0.500
In1 0.500 0.000 0.500
Sc2 0.268 0.268 0.000
Sc3 0.732 0.732 0.000

Output
ΔE to the lowest computed polymorph = 56.1 meV per atom
Formation energy from the elements = -0.243 eV/atom

No. 10
DFT (GGA-PBE) results for an optimized crystal structure of Sc3In.

Unit cell a=5.118 b=5.791 c=6.264 alpha=90.00 beta=90.00 gamma=90.00
Site moments in Bohr magnetons follow the coordinates.
Fractional positions:
Sc1 0.500 0.151 0.754  0.17
In1 0.500 0.662 0.500  -0.01
Sc2 0.000 0.363 0.500  0.16
In2 0.000 0.338 0.000  -0.01
Sc3 0.000 0.849 0.746  0.17
Sc4 0.000 0.849 0.254  0.17
Sc5 0.500 0.637 0.000  0.16
Sc6 0.500 0.151 0.246  0.17

Output
ΔE to the lowest computed polymorph = 31.0 meV per atom
Formation energy from the elements = -0.268 eV/atom

No. 11
DFT (GGA-PBE) results for an optimized crystal structure of ScIn3.

Unit cell a=4.525 b=4.525 c=4.527 alpha=90.00 beta=90.00 gamma=90.00
Fractional positions:
In1 0.000 0.500 0.583
Sc1 0.500 0.000 0.583
In2 0.000 0.000 0.083
In3 0.500 0.500 0.083

Output
Formation energy from the elements = -0.305 eV/atom

No. 12
DFT (GGA-PBE) results for an optimized crystal structure of Sc3In.

Unit cell a=5.961 b=5.961 c=5.961 alpha=116.96 beta=116.96 gamma=116.96
Fractional positions:
In1 0.000 0.000 0.000
Sc1 0.500 0.500 0.000
Sc2 0.000 0.500 0.500
Sc3 0.500 0.000 0.500

Output
ΔE to the lowest computed polymorph = 140.3 meV per atom
Formation energy from the elements = -0.159 eV/atom